KRbCdHg: optimized geometry, GGA-PBE.

Structure (extended XYZ):
```
4
Lattice="-4.929 -0.366 -1.934 1.338 -2.323 4.581 0.894 7.414 3.621" Properties=species:S:1:pos:R:3 pbc="T T T"
Rb -1.379 2.822 0.997
Cd -3.619 -0.124 0.090
Hg -1.552 -0.753 2.255
K -2.968 3.972 5.135
```

total magnetization	0.00	Bohr magnetons per cell
E	-0.9593	eV/atom
crystal system	monoclinic
symmetry	Cm